## Sr4Li2Mg (PBE-GGA)

Data for a relaxed Sr4Li2Mg crystal.

Calculated values
**Symmetry**: No. 166

Unit cell a=5.9362 b=5.9362 c=10.1147 alpha=72.94 beta=72.94 gamma=60.00
Atoms (fractional coordinates):
Sr1 0.8723 0.8723 0.3832
Sr2 0.1277 0.1277 0.6168
Sr3 0.6207 0.6207 0.1379
Sr4 0.3793 0.3793 0.8621
Li1 0.7432 0.7432 0.7703
Li2 0.2568 0.2568 0.2297
Mg1 0.0000 0.0000 0.0000

## Sr2Li6Mg (PBE-GGA)

Data for a relaxed Sr2Li6Mg crystal.

Calculated values
**Symmetry**: No. 164

Unit cell a=6.5718 b=6.5726 c=6.7691 alpha=90.00 beta=90.00 gamma=60.00
Atoms (fractional coordinates):
Sr1 0.6666 0.6667 0.1352
Sr2 0.3334 0.3333 0.8648
Li1 0.8253 0.8253 0.6538
Li2 0.3492 0.8254 0.6537
Li3 0.8253 0.3493 0.6538
Li4 0.1747 0.1747 0.3462
Li5 0.6508 0.1746 0.3463
Li6 0.1747 0.6507 0.3462
Mg1 0.0000 0.0000 0.0000

## SrLi12Mg6 (PBE-GGA)

Data for a relaxed SrLi12Mg6 crystal.

Calculated values
**Symmetry**: No. 166

Unit cell a=7.8821 b=7.8821 c=7.8821 alpha=101.89 beta=101.89 gamma=101.89
Atoms (fractional coordinates):
Sr1 0.0000 0.0000 0.0000
Li1 0.8937 0.1063 0.5000
Li2 0.8869 0.6038 0.6038
Li3 0.6038 0.6038 0.8869
Li4 0.3962 0.1131 0.3962
Li5 0.3962 0.3962 0.1131
Li6 0.1131 0.3962 0.3962
Li7 0.1063 0.5000 0.8937
Li8 0.5000 0.8937 0.1063
Li9 0.1063 0.8937 0.5000
Li10 0.8937 0.5000 0.1063
Li11 0.5000 0.1063 0.8937
Li12 0.6038 0.8869 0.6038
Mg1 0.7015 0.2822 0.2822
Mg2 0.2822 0.2822 0.7015
Mg3 0.2822 0.7015 0.2822
Mg4 0.7178 0.7178 0.2985
Mg5 0.2985 0.7178 0.7178
Mg6 0.7178 0.2985 0.7178

## SrLi2Mg (PBE-GGA)

Data for a relaxed SrLi2Mg crystal.

Calculated values
**Excess energy over the best structure of this formula in the dataset**: 48.1 meV per atom
**Symmetry**: No. 123

Unit cell a=3.8544 b=3.8544 c=7.6508 alpha=90.00 beta=90.00 gamma=89.99
Atoms (fractional coordinates):
Sr1 0.5000 0.5000 0.7500
Mg1 0.5000 0.5000 0.2500
Li1 0.0000 0.0000 0.0614
Li2 0.0000 0.0000 0.4386

## Sr2LiMg (PBE-GGA)

Data for a relaxed Sr2LiMg crystal.

Calculated values
**Symmetry**: No. 6

Unit cell a=5.3564 b=4.4106 c=6.9439 alpha=71.32 beta=90.00 gamma=90.00
Atoms (fractional coordinates):
Sr1 0.0000 0.9759 0.9221
Sr2 0.5000 0.2757 0.3245
Mg1 0.5000 0.5586 0.7574
Li1 0.0000 0.6898 0.4961

## Sr8LiMg2 (PBE-GGA)

Data for a relaxed Sr8LiMg2 crystal.

Calculated values
**Excess energy over the best structure of this formula in the dataset**: 0.0 meV per atom
**Symmetry**: No. 12

Unit cell a=6.0655 b=8.4582 c=10.7500 alpha=107.96 beta=106.39 gamma=90.00
Atoms (fractional coordinates):
Sr1 0.4022 0.5425 0.8045
Sr2 0.6664 0.9552 0.3329
Sr3 0.8050 0.7097 0.6100
Sr4 0.9748 0.2250 0.9496
Sr5 0.1950 0.2903 0.3900
Sr6 0.3336 0.0448 0.6671
Sr7 0.5978 0.4575 0.1955
Sr8 0.0252 0.7750 0.0504
Li1 0.5000 0.0000 0.0000
Mg1 0.8169 0.3009 0.6338
Mg2 0.1831 0.6991 0.3662

## Sr3LiMg (PBE-GGA)

Data for a relaxed Sr3LiMg crystal.

Calculated values
**Excess energy over the best structure of this formula in the dataset**: 0.0 meV per atom
**Symmetry**: No. 63

Unit cell a=5.9495 b=5.9577 c=11.8654 alpha=90.00 beta=75.48 gamma=90.00
Atoms (fractional coordinates):
Sr1 0.7572 0.2500 0.1339
Sr2 0.3918 0.2500 0.8648
Sr3 0.5746 0.2500 0.4992
Sr4 0.2566 0.7500 0.1352
Sr5 0.8911 0.7500 0.8661
Sr6 0.0738 0.7500 0.5008
Li1 0.4825 0.7500 0.6833
Li2 0.1658 0.2500 0.3167
Mg1 0.6669 0.7500 0.3146
Mg2 0.9815 0.2500 0.6854

## SrLi2Mg (PBE-GGA)

Data for a relaxed SrLi2Mg crystal.

Calculated values
**Excess energy over the best structure of this formula in the dataset**: 71.3 meV per atom
**Symmetry**: No. 160

Unit cell a=5.0067 b=5.0067 c=6.3951 alpha=66.96 beta=66.96 gamma=60.00
Atoms (fractional coordinates):
Sr1 0.4999 0.4999 0.5004
Li1 0.9972 0.9972 0.0083
Li2 0.2983 0.2983 0.1052
Mg1 0.7046 0.7046 0.8861

## Sr6LiMg (PBE-GGA)

Data for a relaxed Sr6LiMg crystal.

Calculated values
**Excess energy over the best structure of this formula in the dataset**: 172.0 meV per atom
**Symmetry**: No. 2

Unit cell a=8.0961 b=8.1114 c=8.6680 alpha=62.12 beta=62.26 gamma=59.99
Atoms (fractional coordinates):
Sr1 0.0570 0.4355 0.7515
Sr2 0.7558 0.0558 0.7515
Sr3 0.5651 0.2440 0.2483
Sr4 0.2442 0.9442 0.2485
Sr5 0.9430 0.5645 0.2485
Sr6 0.4349 0.7560 0.7517
Li1 0.0000 0.0000 0.0000
Mg1 0.5000 0.5000 0.5000

## Sr2LiMg (PBE-GGA)

Data for a relaxed Sr2LiMg crystal.

Calculated values
**Symmetry**: No. 119

Unit cell a=6.7575 b=6.7575 c=6.7575 alpha=135.12 beta=135.12 gamma=65.34
Atoms (fractional coordinates):
Li1 0.5000 0.5000 0.0000
Mg1 0.7500 0.2500 0.5000
Sr1 0.0000 0.0000 0.0000
Sr2 0.2500 0.7500 0.5000

## SrLi2Mg9 (PBE-GGA)

Data for a relaxed SrLi2Mg9 crystal.

Calculated values
**Excess energy over the best structure of this formula in the dataset**: 46.6 meV per atom
**Symmetry**: No. 191

Unit cell a=3.4010 b=9.9497 c=9.9497 alpha=120.00 beta=90.00 gamma=90.00
Atoms (fractional coordinates):
Sr1 0.0000 0.0000 0.0000
Li1 0.0000 0.6667 0.3333
Li2 0.0000 0.3333 0.6667
Mg1 0.5000 0.8134 0.1866
Mg2 0.0000 0.0000 0.5000
Mg3 0.0000 0.5000 0.5000
Mg4 0.5000 0.8134 0.6269
Mg5 0.5000 0.1866 0.8134
Mg6 0.5000 0.6269 0.8134
Mg7 0.5000 0.1866 0.3731
Mg8 0.0000 0.5000 0.0000
Mg9 0.5000 0.3731 0.1866

## Sr3LiMg (PBE-GGA)

Data for a relaxed Sr3LiMg crystal.

Calculated values
**Excess energy over the best structure of this formula in the dataset**: 291.4 meV per atom
**Symmetry**: No. 221

Unit cell a=6.1931 b=6.1931 c=6.1931 alpha=90.00 beta=90.00 gamma=90.00
Atoms (fractional coordinates):
Sr1 0.0000 0.5000 0.0000
Sr2 0.0000 0.0000 0.5000
Sr3 0.5000 0.0000 0.0000
Mg1 0.5000 0.5000 0.5000
Li1 0.0000 0.0000 0.0000

| no. | formation energy (kJ/mol of atoms) | calculated volume (Å³/atom) | electronic total energy (eV per cell) |
| --- | --- | --- | --- |
| 1 | 6.5 | 41.49 | -11.68 |
| 2 | 0.1 | 28.13 | -16.43 |
| 3 | 7.8 | 23.83 | -32.69 |
| 4 | 1.4 | 28.42 | -7.05 |
| 5 | -0.1 | 38.85 | -6.87 |
| 6 | 2.0 | 45.55 | -18.33 |
| 7 | -1.0 | 40.71 | -17.21 |
| 8 | 3.6 | 30.96 | -6.95 |
| 9 | 16.4 | 51.91 | -12.24 |
| 10 | 7.4 | 37.84 | -6.56 |
| 11 | -0.7 | 24.30 | -19.94 |
| 12 | 27.1 | 47.51 | -7.15 |